FeMoIr2W: relaxed, PBE.

```
FeMoIr2W
1.0
4.726 0.000 0.000
0.000 4.674 0.000
0.000 0.000 4.726
Mo Ir Fe W
1 2 1 1
direct
0.000 0.500 0.000
0.000 0.000 0.500
0.500 0.000 0.000
0.500 0.500 0.500
0.000 0.000 0.000
```

- space group = P4/mmm (123)
- DOS at the Fermi energy (states/eV/cell) = 10.34
- formation energy from the elements (eV/atom) = 2.16
- mass density (Mg/m³) = 11.46


TlSn4Sb2: relaxed, PBE.

```
TlSn4Sb2
1.0
5.560 -0.004 0.140
2.693 4.449 -0.744
-0.093 -2.377 8.572
Tl Sn Sb
1 4 2
direct
0.000 0.000 0.000
0.432 0.130 0.715
0.158 0.687 0.550
0.568 0.870 0.285
0.842 0.313 0.450
0.735 0.535 0.827
0.265 0.465 0.173
```

- space group = P-1 (2)
- DOS at the Fermi energy (states/eV/cell) = 2.74
- mass density (Mg/m³) = 7.61
- raw total energy (eV per atom) = -3.73


PmSm6Hg2: relaxed, PBE.

```
PmSm6Hg2
1.0
-1.520 -2.765 2.115
5.010 -4.166 1.564
3.648 3.620 10.764
Pm Sm Hg
1 6 2
direct
0.000 0.000 0.000
0.687 0.501 0.124
0.313 0.499 0.876
0.311 0.791 0.587
0.981 0.699 0.338
0.019 0.301 0.662
0.689 0.209 0.413
0.356 0.082 0.206
0.644 0.918 0.794
```

- space group = C2/m (12)
- DOS at the Fermi energy (states/eV/cell) = 9.27
- formation energy from the elements (eV/atom) = -0.21
- mass density (Mg/m³) = 8.57


YTi2Mn: relaxed, PBE.

```
YTi2Mn
1.0
-0.405 -3.955 4.650
6.104 -0.258 0.313
2.844 2.100 6.059
Y Mn Ti
2 2 4
direct
0.000 0.000 0.000
0.750 0.250 0.500
0.500 0.500 0.000
0.250 0.750 0.500
0.375 0.125 0.250
0.375 0.625 0.250
0.375 0.625 0.750
0.875 0.625 0.750
```

- energy above the most stable polymorph in this dataset (meV per atom) = 977
- space group = I4_1/amd (141)
- DOS at the Fermi energy (states/eV/cell) = 12.94
- formation energy from the elements (eV/atom) = 1.01
- mass density (Mg/m³) = 3.85


Cu2SiBr: relaxed, PBE.

```
Cu2SiBr
1.0
4.601 -0.028 0.000
-1.421 4.376 0.000
0.000 0.000 3.266
Br Cu Si
1 2 1
direct
0.000 0.500 0.500
0.000 0.000 0.000
0.500 0.500 0.000
0.500 0.000 0.500
```

- energy above the most stable polymorph in this dataset (meV per atom) = 601
- space group = Cmmm (65)
- DOS at the Fermi energy (states/eV/cell) = 1.18
- mass density (Mg/m³) = 5.95


MgMnCo2: relaxed, PBE.

```
MgMnCo2
1.0
4.855 0.014 0.026
3.950 2.823 0.026
1.864 0.601 3.796
Co Mg Mn
2 1 1
direct
0.988 0.988 0.012
0.512 0.512 0.488
0.750 0.750 0.750
0.250 0.250 0.250
```

- space group = C2/m (12)
- DOS at the Fermi energy (states/eV/cell) = 3.49
- formation energy from the elements (eV/atom) = 0.18
- mass density (Mg/m³) = 6.34


Sc5Ag: relaxed, PBE.

```
Sc5Ag
1.0
-0.224 -5.606 1.720
-5.123 -2.377 1.594
-2.562 -4.019 -3.424
Sc Ag
5 1
direct
0.872 0.376 0.376
0.750 0.750 0.750
0.376 0.872 0.376
0.376 0.376 0.376
0.376 0.376 0.872
0.000 0.000 0.000
```

- energy above the most stable polymorph in this dataset (meV per atom) = 328
- space group = F-43m (216)
- DOS at the Fermi energy (states/eV/cell) = 10.12
- formation energy from the elements (eV/atom) = 0.28
- mass density (Mg/m³) = 3.87


Rb8Br3Cl5: relaxed, PBE.

```
Rb8Br3Cl5
1.0
-6.023 5.552 5.009
1.277 1.166 9.444
3.052 8.533 3.414
Rb Br Cl
8 3 5
direct
0.250 0.250 0.759
0.250 0.741 0.759
0.741 0.250 0.759
0.745 0.745 0.765
0.750 0.750 0.241
0.750 0.259 0.241
0.259 0.750 0.241
0.255 0.255 0.235
0.500 0.000 0.500
0.000 0.000 0.500
0.000 0.500 0.500
0.500 0.000 0.000
0.500 0.500 0.000
0.000 0.000 0.000
0.000 0.500 0.000
0.500 0.500 0.500
```

- space group = R-3m (166)
- DOS at the Fermi energy (states/eV/cell) = 0.00
- mass density (Mg/m³) = 2.88
- raw total energy (eV per atom) = -3.24


La8As3P3N: relaxed, PBE.

```
La8As3P3N
1.0
8.484 0.000 0.000
-4.242 7.348 -0.026
0.000 -4.874 7.015
La As P N
8 3 3 1
direct
0.252 0.504 0.256
0.748 0.496 0.744
0.772 0.544 0.276
0.228 0.456 0.724
0.772 0.005 0.276
0.228 0.995 0.724
0.233 0.005 0.276
0.767 0.995 0.724
0.000 0.000 0.000
0.000 0.500 0.000
0.500 0.500 0.000
0.500 0.000 0.500
0.500 0.500 0.500
0.000 0.500 0.500
0.000 0.000 0.500
```

- space group = R-3m (166)
- DOS at the Fermi energy (states/eV/cell) = 7.16
- mass density (Mg/m³) = 5.49
- raw total energy (eV per atom) = -6.59


Sr3Li2Mg2Tl4: relaxed, PBE.

```
Sr3Li2Mg2Tl4
1.0
5.301 0.000 0.000
-2.650 4.591 0.000
0.000 0.000 13.733
Sr Li Mg Tl
3 2 2 4
direct
0.000 0.000 0.720
0.000 0.000 0.000
0.000 0.000 0.280
0.667 0.333 0.852
0.333 0.667 0.148
0.667 0.333 0.418
0.333 0.667 0.582
0.667 0.333 0.150
0.333 0.667 0.850
0.667 0.333 0.630
0.333 0.667 0.370
```

- space group = P-3m1 (164)
- DOS at the Fermi energy (states/eV/cell) = 8.56
- formation energy from the elements (eV/atom) = -0.19
- mass density (Mg/m³) = 5.68


PSe: relaxed, PBE.

```
PSe
1.0
9.004 0.000 0.000
0.000 9.004 0.000
0.000 0.000 3.329
P Se
4 4
direct
0.843 0.157 0.000
0.343 0.343 0.500
0.657 0.657 0.500
0.157 0.843 0.000
0.778 0.778 0.000
0.278 0.722 0.500
0.722 0.278 0.500
0.222 0.222 0.000
```

- energy above the most stable polymorph in this dataset (meV per atom) = 422
- space group = P4_2/mnm (136)
- DOS at the Fermi energy (states/eV/cell) = 4.33
- mass density (Mg/m³) = 2.71


YHfBeRe2: relaxed, PBE.

```
YHfBeRe2
1.0
4.812 0.000 0.000
0.000 5.006 0.000
0.000 0.000 4.812
Y Re Hf Be
1 2 1 1
direct
0.000 0.000 0.000
0.000 0.000 0.500
0.500 0.000 0.000
0.000 0.500 0.000
0.500 0.500 0.500
```

- energy above the most stable polymorph in this dataset (meV per atom) = 1376
- space group = P4/mmm (123)
- DOS at the Fermi energy (states/eV/cell) = 4.26
- formation energy from the elements (eV/atom) = 2.80
- mass density (Mg/m³) = 9.29